Arrangement A

This record from Alexandria via LeMat-Bulk describes a relaxed LiPN2F crystal. The functional is PBE.

V, Å³ per atom: 9.8
Density of states at the Fermi level, states/eV/cell: 1.0

Geometry as CIF:
```
data_LiPN2F
_space_group_name_H-M_alt 'P 4/m m m'
_space_group_IT_number 123
_space_group_name_Hall '-P 4 2'
_cell_length_a 3.2839
_cell_length_b 3.2839
_cell_length_c 4.5487
_cell_angle_alpha 90.00
_cell_angle_beta 90.00
_cell_angle_gamma 90.00
loop_
_atom_site_label
_atom_site_type_symbol
_atom_site_fract_x
_atom_site_fract_y
_atom_site_fract_z
Li1 Li 0.0000 0.0000 0.0000
P1 P 0.5000 0.5000 0.5000
N1 N 0.0000 0.5000 0.5000
F1 F 0.5000 0.5000 0.0000
```

=====

Arrangement B

This record from Alexandria via LeMat-Bulk describes a relaxed LiPN2F crystal. The functional is PBE.

V, Å³ per atom: 10.4
Density of states at the Fermi level, states/eV/cell: 1.2

Geometry as CIF:
```
data_LiPN2F
_space_group_name_H-M_alt 'P 4/m m m'
_space_group_IT_number 123
_space_group_name_Hall '-P 4 2'
_cell_length_a 3.9796
_cell_length_b 3.9796
_cell_length_c 3.2945
_cell_angle_alpha 90.00
_cell_angle_beta 90.00
_cell_angle_gamma 90.00
loop_
_atom_site_label
_atom_site_type_symbol
_atom_site_fract_x
_atom_site_fract_y
_atom_site_fract_z
Li1 Li 0.0000 0.0000 0.0000
P1 P 0.5000 0.5000 0.5000
N1 N 0.0000 0.5000 0.0000
F1 F 0.0000 0.0000 0.5000
```

=====

Arrangement C

This record from Alexandria via LeMat-Bulk describes a relaxed LiPN2F crystal. The functional is PBE.

V, Å³ per atom: 12.2
Density of states at the Fermi level, states/eV/cell: 0.3

Geometry as CIF:
```
data_LiPN2F
_space_group_name_H-M_alt 'P 1 21/m 1'
_space_group_IT_number 11
_space_group_name_Hall '-P 2yb'
_cell_length_a 5.4466
_cell_length_b 3.4638
_cell_length_c 6.7524
_cell_angle_alpha 90.00
_cell_angle_beta 107.20
_cell_angle_gamma 90.00
loop_
_atom_site_label
_atom_site_type_symbol
_atom_site_fract_x
_atom_site_fract_y
_atom_site_fract_z
Li1 Li 0.0522 0.2500 0.3463
P1 P 0.4694 0.2500 0.8435
N1 N 0.2078 0.2500 0.6582
N2 N 0.4897 0.7500 0.8934
F1 F 0.2605 0.7500 0.2271
```

=====

Least stable = arrangement B

=====

Arrangement A

This record from Alexandria via LeMat-Bulk describes a relaxed LiPdNF2 crystal. The functional is PBE.

V, Å³ per atom: 14.7
Density of states at the Fermi level, states/eV/cell: 2.9

Geometry as CIF:
```
data_LiPdNF2
_space_group_name_H-M_alt 'P 4/m m m'
_space_group_IT_number 123
_space_group_name_Hall '-P 4 2'
_cell_length_a 4.4561
_cell_length_b 4.4561
_cell_length_c 3.6901
_cell_angle_alpha 90.00
_cell_angle_beta 90.00
_cell_angle_gamma 90.00
loop_
_atom_site_label
_atom_site_type_symbol
_atom_site_fract_x
_atom_site_fract_y
_atom_site_fract_z
Li1 Li 0.0000 0.0000 0.0000
Pd1 Pd 0.5000 0.5000 0.5000
N1 N 0.5000 0.5000 0.0000
F1 F 0.0000 0.5000 0.5000
```

=====

Arrangement B

This record from Alexandria via LeMat-Bulk describes a relaxed LiPdNF2 crystal. The functional is PBE.

V, Å³ per atom: 10.5
Density of states at the Fermi level, states/eV/cell: 3.5

Geometry as CIF:
```
data_LiPdNF2
_space_group_name_H-M_alt 'P 4/m m m'
_space_group_IT_number 123
_space_group_name_Hall '-P 4 2'
_cell_length_a 3.4237
_cell_length_b 3.4237
_cell_length_c 4.4623
_cell_angle_alpha 90.00
_cell_angle_beta 90.00
_cell_angle_gamma 90.00
loop_
_atom_site_label
_atom_site_type_symbol
_atom_site_fract_x
_atom_site_fract_y
_atom_site_fract_z
Li1 Li 0.0000 0.0000 0.0000
Pd1 Pd 0.5000 0.5000 0.5000
N1 N 0.0000 0.0000 0.5000
F1 F 0.0000 0.5000 0.0000
```

=====

Least stable = arrangement B

=====

Arrangement A

This record from Alexandria via LeMat-Bulk describes a relaxed LiPtNF2 crystal. The functional is PBE.

V, Å³ per atom: 15.4
Density of states at the Fermi level, states/eV/cell: 1.7

Geometry as CIF:
```
data_LiPtNF2
_space_group_name_H-M_alt 'P 4/m m m'
_space_group_IT_number 123
_space_group_name_Hall '-P 4 2'
_cell_length_a 4.5843
_cell_length_b 4.5843
_cell_length_c 3.6642
_cell_angle_alpha 90.00
_cell_angle_beta 90.00
_cell_angle_gamma 90.00
loop_
_atom_site_label
_atom_site_type_symbol
_atom_site_fract_x
_atom_site_fract_y
_atom_site_fract_z
Li1 Li 0.0000 0.0000 0.0000
Pt1 Pt 0.5000 0.5000 0.5000
N1 N 0.5000 0.5000 0.0000
F1 F 0.0000 0.5000 0.5000
```

=====

Arrangement B

This record from Alexandria via LeMat-Bulk describes a relaxed LiPtNF2 crystal. The functional is PBE.

V, Å³ per atom: 10.8
Density of states at the Fermi level, states/eV/cell: 3.0

Geometry as CIF:
```
data_LiPtNF2
_space_group_name_H-M_alt 'P 4/m m m'
_space_group_IT_number 123
_space_group_name_Hall '-P 4 2'
_cell_length_a 3.3118
_cell_length_b 3.3118
_cell_length_c 4.9247
_cell_angle_alpha 90.00
_cell_angle_beta 90.00
_cell_angle_gamma 90.00
loop_
_atom_site_label
_atom_site_type_symbol
_atom_site_fract_x
_atom_site_fract_y
_atom_site_fract_z
Li1 Li 0.0000 0.0000 0.0000
Pt1 Pt 0.5000 0.5000 0.5000
N1 N 0.0000 0.0000 0.5000
F1 F 0.0000 0.5000 0.0000
```

=====

Least stable = arrangement B